Ac3Pt3Au | PBE-GGA | optimized geometry

```
Ac3Pt3Au
1.0
4.301 0.000 -0.938
-0.207 4.079 -0.947
0.107 0.364 10.819
Ac Au Pt
3 1 3
Cartesian
2.936 0.876 3.131
1.249 3.548 5.726
0.038 0.042 0.174
1.870 2.085 8.570
0.572 2.793 2.621
2.334 2.360 0.373
3.607 1.624 6.205
```

Values from the calculation:
Its density is 12.670 g/cm3. The magnetization is 0.0 μB/f.u. As for the formation energy: -1.06 eV/atom. The space group is Imm2, No. 44. The volume comes out at 191.8 Å³/cell. Its crystal system is orthorhombic.

AcMgGaPt2 | PBE-GGA | optimized geometry

```
AcMgGaPt2
1.0
-1.882 2.053 3.164
2.443 -2.029 2.771
3.859 4.413 -3.376
Ac Ga Mg Pt
1 1 1 2
Cartesian
0.000 0.000 0.000
3.291 1.198 1.181
1.129 3.239 1.377
1.239 1.036 2.872
3.181 3.401 -0.314
```

Values from the calculation:
Its density is 10.946 g/cm3. The magnetization is 0.0 μB/f.u. As for the formation energy: -0.95 eV/atom. The space group is I-4m2, No. 119. The volume comes out at 107.9 Å³/cell. Its crystal system is tetragonal.

CsKRbSr | PBE-GGA | optimized geometry

```
CsKRbSr
1.0
-1.999 -6.185 -4.008
4.645 -2.698 -5.428
3.691 -6.599 1.068
Rb Sr K Cs
1 1 1 1
Cartesian
4.753 -11.612 -6.276
3.169 -7.742 -4.184
1.584 -3.871 -2.092
0.000 0.000 0.000
```

Values from the calculation:
Its density is 1.820 g/cm3. The magnetization is 0.0 μB/f.u. As for the formation energy: 0.12 eV/atom. The space group is F-43m, No. 216. The volume comes out at 314.9 Å³/cell. Its crystal system is cubic.